Entry 1:
A plane-wave DFT calculation with PBE was carried out for Co2SnPt after structural relaxation.

Lattice parameters (Å, degrees): 3.8963 3.8963 3.7645 90.00 90.00 90.00
Sites, in units of the cell vectors:
Co1 0.0000 0.5000 0.0000
Co2 0.5000 0.0000 0.0000
Sn1 0.0000 0.0000 0.5000
Pt1 0.5000 0.5000 0.5000

Properties
crystal system = tetragonal
total magnetization = 2.11 μB/cell


Entry 2:
A plane-wave DFT calculation with PBE was carried out for LiAc2Cd4Ga3 after structural relaxation.

Lattice parameters (Å, degrees): 4.6256 4.6256 11.4143 90.00 90.00 90.00
Sites, in units of the cell vectors:
Li1 0.0000 0.0000 0.0000
Ac1 0.0000 0.5000 0.7479
Ac2 0.5000 0.0000 0.2521
Cd1 0.0000 0.0000 0.5000
Cd2 0.0000 0.5000 0.1233
Cd3 0.5000 0.0000 0.8767
Cd4 0.5000 0.5000 0.5000
Ga1 0.0000 0.5000 0.3578
Ga2 0.5000 0.0000 0.6422
Ga3 0.5000 0.5000 0.0000

Properties
crystal system = tetragonal
total magnetization = 0.00 μB/cell


no.,final energy (eV per cell)
1,-24.5
2,-26.5